## Tb10Si3Sb3 (GGA-PBE)

Data for a relaxed Tb10Si3Sb3 crystal.

Properties
Total magnetization (μB/atom): 0.0000
Formation energy (no corrections) (meV per atom): -791.5

The structure in CIF format:
```
data_Tb10Si3Sb3
_symmetry_space_group_name_H-M 'P -6 2 m'
_symmetry_Int_Tables_number 189
_symmetry_space_group_name_Hall 'P -6 -2'
_cell_length_a 8.7595
_cell_length_b 8.7595
_cell_length_c 6.3869
_cell_angle_alpha 90.00
_cell_angle_beta 90.00
_cell_angle_gamma 120.00
loop_
_atom_site_label
_atom_site_type_symbol
_atom_site_fract_x
_atom_site_fract_y
_atom_site_fract_z
Tb1 Tb 0.0000 0.2444 0.0000
Tb2 Tb 0.0000 0.7576 0.5000
Tb3 Tb 0.3333 0.6667 0.2403
Si1 Si 0.0000 0.6101 0.0000
Sb1 Sb 0.0000 0.3953 0.5000
```